[1]
# Ta3ReBi

A geometry-optimized Ta3ReBi structure (PBE, the Alexandria database).

Properties
The formation enthalpy at 0 K comes out at 5.4 eV/f.u. The energy relative to the lowest polymorph listed for this composition is 0 meV/atom. The density of states at the Fermi level is 4.043 states/eV/cell.

Cell and atoms, written as CIF:
```
data_Ta3ReBi
_chemical_formula_sum 'Ta3 Re1 Bi1'
_cell_length_a 4.923
_cell_length_b 4.923
_cell_length_c 4.923
_cell_angle_alpha 90.00
_cell_angle_beta 90.00
_cell_angle_gamma 90.00
_space_group_name_H-M_alt 'P m -3 m'
_space_group_IT_number 221
_space_group_name_Hall '-P 4 2 3'
loop_
_atom_site_label
_atom_site_fract_x
_atom_site_fract_y
_atom_site_fract_z
Ta1 0.000 0.000 0.500
Re1 0.000 0.000 0.000
Bi1 0.500 0.500 0.500
```


[2]
# B5C

A geometry-optimized B5C structure (PBE, the Alexandria database).

Properties
The formation enthalpy at 0 K comes out at 2.0 eV/f.u. The energy relative to the lowest polymorph listed for this composition is 141 meV/atom. The density of states at the Fermi level is 1.450 states/eV/cell.

Cell and atoms, written as CIF:
```
data_B5C
_chemical_formula_sum 'B10 C2'
_cell_length_a 5.121
_cell_length_b 2.752
_cell_length_c 5.920
_cell_angle_alpha 90.00
_cell_angle_beta 92.98
_cell_angle_gamma 90.00
_space_group_name_H-M_alt 'P 1 21/m 1'
_space_group_IT_number 11
loop_
_space_group_symop_operation_xyz
'x,y,z'
'-x,-y,-z'
'-x,y+1/2,-z'
'x,-y+1/2,z'
loop_
_atom_site_label
_atom_site_fract_x
_atom_site_fract_y
_atom_site_fract_z
B1 0.003 0.250 0.239
B2 0.113 0.250 0.534
B3 0.343 0.250 0.318
B4 0.390 0.250 0.001
B5 0.462 0.250 0.595
C1 0.155 0.250 0.810
```


[3]
# Mg3CdPb4

A geometry-optimized Mg3CdPb4 structure (PBE, the Alexandria database).

Properties
The formation enthalpy at 0 K comes out at -0.1 eV/f.u. The energy relative to the lowest polymorph listed for this composition is 13 meV/atom. The density of states at the Fermi level is 3.068 states/eV/cell.

Cell and atoms, written as CIF:
```
data_Mg3CdPb4
_chemical_formula_sum 'Mg3 Cd1 Pb4'
_cell_length_a 3.556
_cell_length_b 5.148
_cell_length_c 11.823
_cell_angle_alpha 90.00
_cell_angle_beta 90.00
_cell_angle_gamma 90.00
_space_group_name_H-M_alt 'P m m 2'
_space_group_IT_number 25
loop_
_space_group_symop_operation_xyz
'x,y,z'
'-x,-y,z'
'-x,y,z'
'x,-y,z'
loop_
_atom_site_label
_atom_site_fract_x
_atom_site_fract_y
_atom_site_fract_z
Mg1 0.000 0.000 0.000
Mg2 0.000 0.500 0.158
Mg3 0.500 0.000 0.502
Cd1 0.500 0.500 0.654
Pb1 0.000 0.000 0.738
Pb2 0.000 0.500 0.421
Pb3 0.500 0.000 0.231
Pb4 0.500 0.500 0.925
```


[4]
# RbSbSeO2

A geometry-optimized RbSbSeO2 structure (PBE, the Alexandria database).

Properties
As for the total energy: -22.2 eV/f.u. The density of states at the Fermi level is 3.463 states/eV/cell.

Cell and atoms, written as CIF:
```
data_RbSbSeO2
_chemical_formula_sum 'Rb1 Sb1 Se1 O2'
_cell_length_a 4.268
_cell_length_b 4.268
_cell_length_c 5.365
_cell_angle_alpha 90.00
_cell_angle_beta 90.00
_cell_angle_gamma 90.00
_space_group_name_H-M_alt 'P 4/m m m'
_space_group_IT_number 123
_space_group_name_Hall '-P 4 2'
loop_
_atom_site_label
_atom_site_fract_x
_atom_site_fract_y
_atom_site_fract_z
Rb1 0.000 0.000 0.000
Sb1 0.500 0.500 0.500
Se1 0.500 0.500 0.000
O1 0.000 0.500 0.500
```


[5]
# ScHgB

A geometry-optimized ScHgB structure (PBE, the Alexandria database).

Properties
The formation enthalpy at 0 K comes out at -1.5 eV/f.u. The energy relative to the lowest polymorph listed for this composition is 1 meV/atom. The density of states at the Fermi level is 4.779 states/eV/cell.

Cell and atoms, written as CIF:
```
data_ScHgB
_chemical_formula_sum 'Sc2 Hg2 B2'
_cell_length_a 3.220
_cell_length_b 3.220
_cell_length_c 11.083
_cell_angle_alpha 93.79
_cell_angle_beta 94.48
_cell_angle_gamma 119.95
_space_group_name_H-M_alt 'P 1'
_space_group_IT_number 1
loop_
_space_group_symop_operation_xyz
'x,y,z'
loop_
_atom_site_label
_atom_site_fract_x
_atom_site_fract_y
_atom_site_fract_z
Sc1 0.000 0.000 0.000
Sc2 0.157 0.149 0.308
Hg1 0.223 0.555 0.777
Hg2 0.609 0.919 0.532
B1 0.412 0.741 0.154
B2 0.745 0.408 0.154
```


[6]
# AsIr2Au

A geometry-optimized AsIr2Au structure (PBE, the Alexandria database).

Properties
The formation enthalpy at 0 K comes out at 1.0 eV/f.u. The density of states at the Fermi level is 2.759 states/eV/cell.

Cell and atoms, written as CIF:
```
data_AsIr2Au
_chemical_formula_sum 'As1 Ir2 Au1'
_cell_length_a 2.965
_cell_length_b 2.965
_cell_length_c 7.148
_cell_angle_alpha 90.00
_cell_angle_beta 90.00
_cell_angle_gamma 90.00
_space_group_name_H-M_alt 'P 4/m m m'
_space_group_IT_number 123
_space_group_name_Hall '-P 4 2'
loop_
_atom_site_label
_atom_site_fract_x
_atom_site_fract_y
_atom_site_fract_z
As1 0.000 0.000 0.000
Ir1 0.500 0.500 0.212
Au1 0.000 0.000 0.500
```


[7]
# BaBi2Pb

A geometry-optimized BaBi2Pb structure (PBE, the Alexandria database).

Properties
The formation enthalpy at 0 K comes out at -1.8 eV/f.u. The density of states at the Fermi level is 2.873 states/eV/cell.

Cell and atoms, written as CIF:
```
data_BaBi2Pb
_chemical_formula_sum 'Ba1 Bi2 Pb1'
_cell_length_a 5.189
_cell_length_b 5.189
_cell_length_c 5.137
_cell_angle_alpha 90.00
_cell_angle_beta 90.00
_cell_angle_gamma 90.00
_space_group_name_H-M_alt 'P 4/m m m'
_space_group_IT_number 123
_space_group_name_Hall '-P 4 2'
loop_
_atom_site_label
_atom_site_fract_x
_atom_site_fract_y
_atom_site_fract_z
Ba1 0.000 0.000 0.000
Bi1 0.000 0.500 0.500
Pb1 0.500 0.500 0.000
```


[8]
# SrFe2Co2

A geometry-optimized SrFe2Co2 structure (PBE, the Alexandria database).

Properties
The formation enthalpy at 0 K comes out at 1.3 eV/f.u. The energy relative to the lowest polymorph listed for this composition is 0 meV/atom. The density of states at the Fermi level is 10.266 states/eV/cell.

Cell and atoms, written as CIF:
```
data_SrFe2Co2
_chemical_formula_sum 'Sr2 Fe4 Co4'
_cell_length_a 4.032
_cell_length_b 4.032
_cell_length_c 10.096
_cell_angle_alpha 90.00
_cell_angle_beta 90.00
_cell_angle_gamma 90.00
_space_group_name_H-M_alt 'I 4/m m m'
_space_group_IT_number 139
_space_group_name_Hall '-I 4 2'
loop_
_atom_site_label
_atom_site_fract_x
_atom_site_fract_y
_atom_site_fract_z
Sr1 0.000 0.000 0.000
Fe1 0.000 0.500 0.250
Co1 0.000 0.000 0.377
```


[9]
# CeUB4

A geometry-optimized CeUB4 structure (PBE, the Alexandria database).

Properties
The formation enthalpy at 0 K comes out at -1.9 eV/f.u. The density of states at the Fermi level is 29.120 states/eV/cell.

Cell and atoms, written as CIF:
```
data_CeUB4
_chemical_formula_sum 'Ce4 U4 B16'
_cell_length_a 6.066
_cell_length_b 11.793
_cell_length_c 4.117
_cell_angle_alpha 90.00
_cell_angle_beta 90.00
_cell_angle_gamma 90.00
_space_group_name_H-M_alt 'P b a m'
_space_group_IT_number 55
loop_
_space_group_symop_operation_xyz
'x,y,z'
'-x,-y,-z'
'-x,-y,z'
'x,y,-z'
'x+1/2,-y+1/2,-z'
'-x+1/2,y+1/2,z'
'-x+1/2,y+1/2,-z'
'x+1/2,-y+1/2,z'
loop_
_atom_site_label
_atom_site_fract_x
_atom_site_fract_y
_atom_site_fract_z
Ce1 0.120 0.155 0.000
U1 0.125 0.418 0.000
B1 0.023 0.694 0.500
B2 0.121 0.550 0.500
B3 0.130 0.969 0.500
B4 0.206 0.812 0.500
```


[10]
# MgPaAg2

A geometry-optimized MgPaAg2 structure (PBE, the Alexandria database).

Properties
The formation enthalpy at 0 K comes out at 0.9 eV/f.u. The energy relative to the lowest polymorph listed for this composition is 225 meV/atom. The density of states at the Fermi level is 16.008 states/eV/cell.

Cell and atoms, written as CIF:
```
data_MgPaAg2
_chemical_formula_sum 'Mg3 Pa3 Ag6'
_cell_length_a 3.0163
_cell_length_b 3.0163
_cell_length_c 32.7068
_cell_angle_alpha 90.00
_cell_angle_beta 90.00
_cell_angle_gamma 120.00
_space_group_name_H-M_alt 'R -3 m'
_space_group_IT_number 166
_space_group_name_Hall '-R 3 2"'
loop_
_atom_site_label
_atom_site_fract_x
_atom_site_fract_y
_atom_site_fract_z
Mg1 0.0000 0.0000 0.0000
Pa1 0.0000 0.0000 0.5000
Ag1 0.0000 0.0000 0.4050
```


[11]
# SrRe2As

A geometry-optimized SrRe2As structure (PBE, the Alexandria database).

Properties
The formation enthalpy at 0 K comes out at 0.0 eV/f.u. The density of states at the Fermi level is 7.219 states/eV/cell.

Cell and atoms, written as CIF:
```
data_SrRe2As
_chemical_formula_sum 'Sr3 Re6 As3'
_cell_length_a 4.2689
_cell_length_b 4.2689
_cell_length_c 17.1584
_cell_angle_alpha 90.00
_cell_angle_beta 90.00
_cell_angle_gamma 120.00
_space_group_name_H-M_alt 'R 3 m'
_space_group_IT_number 160
_space_group_name_Hall 'R 3 -2"'
loop_
_atom_site_label
_atom_site_fract_x
_atom_site_fract_y
_atom_site_fract_z
Sr1 0.0000 0.0000 0.0000
Re1 0.0000 0.0000 0.2001
Re2 0.0000 0.0000 0.5049
As1 0.0000 0.0000 0.7902
```


- What is the formula in the third record?
  Mg3CdPb4